First-principles (PBE) data for a geometry-optimized Ca3Ce2PuN6 structure, as listed in Alexandria via LeMat-Bulk.

Cell: 6.1519 6.1519 6.0694 Å, 99.72 99.72 120.00°
Element x y z (fractional)
Ca  0.0000  0.0000  0.0000
Ca  0.3349  0.6651  0.0000
Ca  0.6651  0.3349  0.0000
Ce  0.1669  0.8331  0.5000
Ce  0.8331  0.1669  0.5000
Pu  0.5000  0.5000  0.5000
N  0.1036  0.4265  0.2797
N  0.2506  0.2506  0.7170
N  0.4265  0.1036  0.2797
N  0.5735  0.8964  0.7203
N  0.7494  0.7494  0.2830
N  0.8964  0.5735  0.7203

- crystal system = monoclinic
- N(E_F) (states/eV per atom) = 0.744
- final energy (eV/cell) = -97.3